# 1
Sr2CdTePd (PBE, relaxed); total magnetic moment = 0.00 μB per formula unit; V = 34.55 Å³/atom; symmetry = No. 123; calculated total energy = -16.15 eV for the cell shown
1.0
-2.361 4.981 -1.794
-3.816 -2.963 -3.203
-3.254 -0.110 3.978
Sr Pd Te Cd
2 1 1 1
Direct
0.000 0.500 0.000 Sr
0.500 0.000 0.000 Sr
0.000 0.000 0.000 Pd
0.500 0.500 0.500 Te
0.000 0.000 0.500 Cd

=====

# 2
Sr2Tl2CdPd5 (PBE, relaxed); formation enthalpy at 0 K = -0.366 eV per atom; total magnetic moment = 0.00 μB per formula unit; V = 22.09 Å³/atom; symmetry = No. 127
1.0
3.879 0.000 0.000
0.000 10.673 0.000
0.000 0.000 10.673
Sr Tl Pd Cd
4 4 10 2
Direct
0.000 0.172 0.328 Sr
0.000 0.672 0.172 Sr
0.000 0.328 0.828 Sr
0.000 0.828 0.672 Sr
0.000 0.128 0.628 Tl
0.000 0.872 0.372 Tl
0.000 0.628 0.872 Tl
0.000 0.372 0.128 Tl
0.500 0.557 0.691 Pd
0.500 0.443 0.309 Pd
0.500 0.000 0.500 Pd
0.500 0.191 0.057 Pd
0.500 0.309 0.557 Pd
0.500 0.057 0.809 Pd
0.500 0.809 0.943 Pd
0.500 0.943 0.191 Pd
0.500 0.691 0.443 Pd
0.500 0.500 0.000 Pd
0.000 0.500 0.500 Cd
0.000 0.000 0.000 Cd

=====

# 3
Sr2TlCd2Pd5 (PBE, relaxed); formation enthalpy at 0 K = -0.413 eV per atom; total magnetic moment = 0.00 μB per formula unit; V = 21.45 Å³/atom; symmetry = No. 127
1.0
-1.011 2.343 2.982
1.804 -7.792 6.733
9.940 3.106 0.931
Sr Pd Cd Tl
4 10 4 2
Direct
0.000 0.826 0.674 Sr
0.000 0.326 0.826 Sr
0.000 0.174 0.326 Sr
0.000 0.674 0.174 Sr
0.500 0.941 0.198 Pd
0.500 0.559 0.698 Pd
0.500 0.441 0.302 Pd
0.500 0.500 0.000 Pd
0.500 0.802 0.941 Pd
0.500 0.302 0.559 Pd
0.500 0.000 0.500 Pd
0.500 0.698 0.441 Pd
0.500 0.059 0.802 Pd
0.500 0.198 0.059 Pd
0.000 0.374 0.126 Cd
0.000 0.874 0.374 Cd
0.000 0.126 0.626 Cd
0.000 0.626 0.874 Cd
0.000 0.000 0.000 Tl
0.000 0.500 0.500 Tl

=====

# 4
SrTl2CdPd (PBE, relaxed); formation enthalpy at 0 K = -0.173 eV per atom; total magnetic moment = 0.00 μB per formula unit; V = 32.63 Å³/atom; offset from the most stable computed form = 16.2 meV per atom; symmetry = No. 123
1.0
5.345 0.000 0.000
0.000 5.345 0.000
0.000 0.000 5.710
Cd Tl Sr Pd
1 2 1 1
Direct
0.500 0.500 0.500 Cd
0.000 0.500 0.000 Tl
0.500 0.000 0.000 Tl
0.000 0.000 0.500 Sr
0.000 0.000 0.000 Pd